K4Ac3TlO8 | GGA-PBE | relaxed

Cell: 13.1700 7.5136 7.6930 Å, 90.00 124.14 90.00°
Closest atoms and distances in Å follow each position.
Space group C2/m (No. 12)
One atom of each set of equivalent atoms:
K 0.0000 0.0000 0.0000  6 O 2.83-2.97
K 0.0000 0.5000 0.0000  6 O 2.85-2.98
K 0.2500 0.2500 0.0000  6 O 2.87-2.91
Ac 0.0000 0.0000 0.5000  6 O 2.50-2.56
Ac 0.2500 0.2500 0.5000  6 O 2.51-2.58
Tl 0.0000 0.5000 0.5000  6 O 2.42-2.65
O 0.0147 0.2622 0.3025  1 Tl 2.42, 2 Ac 2.56-2.58
O 0.2287 0.0000 0.6933  3 Ac 2.50-2.51
O 0.2424 0.5000 0.7114  2 Ac 2.52, 1 Tl 2.65


KAc2TlO5 | GGA-PBE | relaxed

Cell: 7.2650 7.2650 12.6953 Å, 90.00 90.00 90.00°
Closest atoms and distances in Å follow each position.
Space group I4/mcm (No. 140)
One atom of each set of equivalent atoms:
K 0.0000 0.0000 0.2500  10 O 3.17-3.23
Ac 0.1808 0.3192 0.0000  4 O 2.41-2.67
Tl 0.0000 0.5000 0.2500  4 O 2.16
O 0.0000 0.0000 0.0000  4 Ac 2.67
O 0.1407 0.3592 0.3765  1 Tl 2.16, 1 Ac 2.41


K2AcTlO4 | GGA-PBE | relaxed

Cell: 6.2512 3.7251 6.7329 Å, 90.00 108.99 90.00°
Closest atoms and distances in Å follow each position.
Space group P2/m (No. 10)
One atom of each set of equivalent atoms:
K 0.0000 0.0000 0.0000  6 O 2.87-2.88
K 0.5000 0.5000 0.0000  6 O 2.77-2.83
Ac 0.0000 0.5000 0.5000  6 O 2.50-2.55
Tl 0.5000 0.0000 0.5000  6 O 2.44
O 0.2408 0.0000 0.7032  1 Tl 2.44, 2 Ac 2.50
O 0.2814 0.5000 0.2986  2 Tl 2.44, 1 Ac 2.55


K3AcTl2O6 | GGA-PBE | relaxed

Cell: 16.4275 3.6495 7.5139 Å, 90.00 107.63 90.00°
Closest atoms and distances in Å follow each position.
Space group C2/m (No. 12)
One atom of each set of equivalent atoms:
K 0.0000 0.0000 0.0000  6 O 2.76-2.87
K 0.1712 0.5000 0.3230  6 O 2.64-2.95
Ac 0.0000 0.0000 0.5000  6 O 2.50-2.54
Tl 0.1699 0.5000 0.8359  6 O 2.35-2.43
O 0.0145 0.5000 0.7350  1 Tl 2.43, 2 Ac 2.50
O 0.1620 0.0000 0.6187  2 Tl 2.43, 1 Ac 2.54, 1 K 2.64
O 0.1802 0.0000 0.0475  3 Tl 2.35-2.39


The calculation returns the following energy values, one per record and in order: -5.811 -6.281 -5.315 -5.005 eV per atom.
The calculation returns the following uncorrected formation energy values, one per record and in order: -49.33 -51.39 -40.41 -34.94 kcal/mol of atoms.